Entry from Alexandria via LeMat-Bulk: TcTeAu after structural relaxation (PBE-GGA).

Cell: 4.1429 5.6987 6.4373 Å, 112.96 101.83 91.47°
Closest atoms and distances in Å follow each position.
Space group P1 (No. 1)
Asymmetric unit:
Tc 0.0000 0.0000 0.0000 x1  1 Tc 2.30
Tc 0.4094 0.1009 0.8451 x1  1 Tc 2.30
Te 0.2611 0.9120 0.3781 x1  2 Tc 2.69, 2 Au 2.89-2.91
Te 0.7703 0.4201 0.2521 x1  2 Tc 2.64, 1 Au 2.82
Au 0.4493 0.6223 0.8468 x1  4 Tc 2.74-2.97, 2 Au 2.78-2.85
Au 0.8566 0.2743 0.6290 x1  2 Au 2.78-2.85, 3 Te 2.82-2.91, 2 Tc 2.84-2.89

Crystal system: triclinic
Formation energy (no corrections) in eV/atom: 0.270
Spin magnetization in Bohr magnetons per cell: 0.00